Material: K2AlBC
Method: DFT, SCAN
State: PBEsol geometry

## Properties
total magnetization = 0.00 Bohr magnetons per cell
DFT formation energy = 312 meV per atom

Cell: 6.362 6.362 2.872 Å, 90.00 90.00 90.00°
Space group P4/mmm (No. 123)
One atom of each set of equivalent atoms:
K 0.000 0.500 0.000
Al 0.000 0.000 0.500
B 0.500 0.500 0.500
C 0.500 0.500 0.000